Here is a relaxed TiCrWO6 crystal from Alexandria. Energies are from PBE+U.

Cell lengths 4.645, 4.645, 9.242 Å; angles 90.00, 90.00, 90.00 degrees
Atoms (fractional coordinates):
1 Ti 0.000 0.000 0.000
2 Ti 0.500 0.500 0.500
3 Cr 0.000 0.000 0.338
4 Cr 0.500 0.500 0.838
5 W 0.000 0.000 0.671
6 W 0.500 0.500 0.171
7 O 0.194 0.194 0.843
8 O 0.198 0.198 0.505
9 O 0.200 0.200 0.169
10 O 0.300 0.700 0.669
11 O 0.302 0.698 0.005
12 O 0.306 0.694 0.343
13 O 0.694 0.306 0.343
14 O 0.698 0.302 0.005
15 O 0.700 0.300 0.669
16 O 0.800 0.800 0.169
17 O 0.802 0.802 0.505
18 O 0.806 0.806 0.843

Calculated values
- Symmetry: No. 102
- Uncorrected energy: -8.1698 eV/atom
- M_tot: 8.00 Bohr magnetons per cell